# 1
Below is TaTeOs after structural relaxation, with properties calculated at the PBE level.

The structure in POSCAR format:
```
TaTeOs
1.0
-1.555 2.127 4.119
1.555 -2.127 4.119
1.555 2.127 -4.119
Ta Te Os
1 1 1
Cartesian
0.000 0.000 0.000
0.000 0.000 5.514
0.000 0.000 2.817
```

Results
Formation energy (no corrections) = 470.8 meV per atom
Calculated volume = 18.2 Å³ per atom

# 2
Below is TaTeOs after structural relaxation, with properties calculated at the PBE level.

The structure in POSCAR format:
```
TaTeOs
1.0
3.148 0.000 0.000
-1.574 2.726 0.000
0.000 0.000 13.298
Ta Te Os
2 2 2
Cartesian
0.000 0.000 0.000
0.000 0.000 6.649
0.000 1.818 2.266
0.000 1.818 11.032
1.574 0.909 4.693
1.574 0.909 8.605
```

Results
Formation energy (no corrections) = 442.6 meV per atom
Calculated volume = 19.0 Å³ per atom

# 3
Below is TaTeOs2 after structural relaxation, with properties calculated at the PBE level.

The structure in POSCAR format:
```
TaTeOs2
1.0
2.889 0.000 0.000
0.000 3.710 0.000
-0.632 0.000 7.108
Ta Te Os
1 1 2
Cartesian
0.000 0.000 0.000
2.091 1.855 2.131
0.829 1.855 5.508
2.267 0.000 4.427
```

Results
Formation energy (no corrections) = 393.3 meV per atom
Calculated volume = 19.0 Å³ per atom

# 4
Below is TaTeOs2 after structural relaxation, with properties calculated at the PBE level.

The structure in POSCAR format:
```
TaTeOs2
1.0
3.089 0.000 0.000
0.000 3.089 0.000
0.000 0.000 7.117
Ta Te Os
1 1 2
Cartesian
0.000 0.000 0.000
1.545 1.545 1.974
0.000 0.000 3.721
1.545 1.545 5.433
```

Results
Formation energy (no corrections) = 453.2 meV per atom
Calculated volume = 17.0 Å³ per atom

# 5
Below is TaTeOs2 after structural relaxation, with properties calculated at the PBE level.

The structure in POSCAR format:
```
TaTeOs2
1.0
1.485 0.858 8.988
-1.485 0.858 8.988
0.000 -1.715 8.988
Ta Te Os
1 1 2
Cartesian
0.000 0.000 0.000
0.000 0.000 20.357
0.000 0.000 6.696
0.000 0.000 13.655
```

Results
Formation energy (no corrections) = 556.0 meV per atom
Calculated volume = 17.2 Å³ per atom

# 6
Below is Ta4TeOs after structural relaxation, with properties calculated at the PBE level.

The structure in POSCAR format:
```
Ta4TeOs
1.0
0.000 3.849 3.849
3.849 0.000 3.849
3.849 3.849 0.000
Ta Te Os
4 1 1
Cartesian
0.963 0.963 0.963
2.886 2.886 0.963
2.886 0.963 2.886
0.963 2.886 2.886
5.774 5.774 5.774
3.849 3.849 3.849
```

Results
Formation energy (no corrections) = 595.2 meV per atom
Calculated volume = 19.0 Å³ per atom

| no. | uncorrected energy (eV per formula unit) |
| --- | --- |
| 1 | -24.81 |
| 2 | -24.90 |
| 3 | -35.88 |
| 4 | -35.64 |
| 5 | -35.23 |
| 6 | -58.21 |